## LiCeGdMn (PBE-GGA)

Data for a relaxed structure of LiCeGdMn.

Cell lengths 5.007, 5.007, 5.007 Å; angles 60.00, 60.00, 60.00 degrees
Last column: magnetic moment on the atom in μB.
Atoms (fractional coordinates):
Ce 0.750 0.750 0.750  -0.86
Mn 0.500 0.500 0.500  2.67
Gd 0.250 0.250 0.250  6.82
Li 0.000 0.000 0.000  -0.05

space group = No. 216
energy of formation = 0.21 eV per atom
ρ = 6.72 g/cm³
calculated total energy = -7.57 eV/atom